# Sc2TeMoAs

Sc2TeMoAs after structural relaxation (PBE-GGA, the Alexandria database).

Magnetic moment, μB per formula unit: 0.44
Fermi-level density of states, states/eV per atom: 1.096
E_form (uncorrected), eV/atom: -0.017
Calculated volume, Å³ per cell: 119.7
Symmetry: P4/mmm (123)

Cell: 5.074 4.648 5.074 Å, 90.00 90.00 90.00°
Each line ends with the local moment (μB).
Positions (direct):
Sc1 0.000 0.000 0.500  0.01
Sc2 0.500 0.000 0.000  0.01
As1 0.000 0.000 0.000  0.00
Mo1 0.000 0.500 0.000  0.31
Te1 0.500 0.500 0.500  0.00